[1]
Here is a relaxed structure of CsAl3Ga3 from the Alexandria database. Energies are from GGA-PBE.

a = 3.159 Å, b = 11.088 Å, c = 11.082 Å
α = 120.06°, β = 90.00°, γ = 90.00°
Atoms (fractional coordinates):
Al 0.750 0.852 0.099
Al 0.250 0.148 0.901
Al 0.750 0.900 0.751
Al 0.250 0.100 0.249
Al 0.750 0.247 0.149
Al 0.250 0.753 0.851
Cs 0.250 0.666 0.333
Cs 0.750 0.334 0.667
Ga 0.250 0.609 0.992
Ga 0.750 0.616 0.608
Ga 0.750 0.992 0.384
Ga 0.250 0.008 0.616
Ga 0.750 0.391 0.008
Ga 0.250 0.384 0.392

Calculated volume   336.0 Å³ per cell
Electronic total energy   -2.839 eV/atom
Offset from the most stable computed form   0.225 eV/f.u.
D(E_F)   0.653 states/eV per atom
Symmetry   No. 11
ΔE_f   0.185 eV/atom

[2]
Here is a relaxed structure of Cs3AlGa from the Alexandria database. Energies are from GGA-PBE.

a = 7.148 Å, b = 7.148 Å, c = 7.148 Å
α = 90.00°, β = 90.00°, γ = 90.00°
Last column: magnetic moment on the atom in μB.
Atoms (fractional coordinates):
Cs 0.000 0.000 0.500  -0.01
Cs 0.000 0.500 0.000  -0.02
Cs 0.500 0.000 0.000  -0.03
Al 0.500 0.500 0.500  0.15
Ga 0.000 0.000 0.000  -0.35

Calculated volume   365.2 Å³ per cell
Electronic total energy   -1.301 eV/atom
D(E_F)   1.670 states/eV per atom
Symmetry   No. 221
ΔE_f   0.565 eV/atom

[3]
Here is a relaxed structure of CsAl6Ga12 from the Alexandria database. Energies are from GGA-PBE.

a = 7.540 Å, b = 7.540 Å, c = 7.540 Å
α = 102.88°, β = 102.88°, γ = 102.88°
Atoms (fractional coordinates):
Ga 0.892 0.500 0.108
Ga 0.500 0.892 0.108
Ga 0.500 0.108 0.892
Ga 0.398 0.139 0.398
Ga 0.892 0.108 0.500
Ga 0.398 0.398 0.139
Ga 0.139 0.398 0.398
Ga 0.602 0.861 0.602
Ga 0.861 0.602 0.602
Ga 0.602 0.602 0.861
Ga 0.108 0.500 0.892
Ga 0.108 0.892 0.500
Cs 0.000 0.000 0.000
Al 0.288 0.712 0.288
Al 0.288 0.288 0.712
Al 0.712 0.288 0.712
Al 0.288 0.712 0.712
Al 0.712 0.288 0.288
Al 0.712 0.712 0.288

Calculated volume   390.1 Å³ per cell
Electronic total energy   -3.107 eV/atom
D(E_F)   0.334 states/eV per atom
Symmetry   No. 166
ΔE_f   0.031 eV/atom

[4]
Here is a relaxed structure of Cs3AlGa4 from the Alexandria database. Energies are from GGA-PBE.

a = 7.733 Å, b = 7.215 Å, c = 9.765 Å
α = 128.39°, β = 133.09°, γ = 64.39°
Atoms (fractional coordinates):
Cs 0.019 0.000 0.000
Cs 0.240 0.779 0.413
Cs 0.798 0.221 0.587
Ga 0.803 0.540 0.380
Ga 0.480 0.216 0.057
Ga 0.557 0.784 0.943
Ga 0.235 0.460 0.620
Al 0.519 0.500 0.000

Calculated volume   311.8 Å³ per cell
Electronic total energy   -2.303 eV/atom
D(E_F)   0.643 states/eV per atom
Symmetry   No. 2
ΔE_f   -0.002 eV/atom